The following is a DFT calculation (GGA-PBEsol) of a relaxed structure of YMg2Cu3.

```
12
Lattice="4.444 0.000 0.000 -2.222 3.848 0.000 0.000 0.000 11.970" Properties=species:S:1:pos:R:3 pbc="T T T"
Y 0.000 0.000 2.992
Y 0.000 0.000 8.977
Mg 0.000 2.566 0.891
Mg 0.000 2.566 5.094
Mg 2.222 1.283 6.876
Mg 2.222 1.283 11.079
Cu 0.000 0.000 0.000
Cu 0.000 0.000 5.985
Cu 0.000 2.566 7.708
Cu 0.000 2.566 10.247
Cu 2.222 1.283 1.723
Cu 2.222 1.283 4.262
```

Summary:
- DFT formation energy: -129 meV/atom
- Volume: 102 Å³/f.u.

The following is a DFT calculation (GGA-PBEsol) of a relaxed structure of TcBiP2S.

```
5
Lattice="5.108 0.000 0.000 0.000 5.108 0.000 0.000 0.000 5.082" Properties=species:S:1:pos:R:3 pbc="T T T"
Tc 0.000 0.000 0.000
Bi 2.554 2.554 2.541
P 0.000 2.554 2.541
P 2.554 0.000 2.541
S 2.554 2.554 0.000
```

Summary:
- Energy relative to the elements, uncorrected: 1.8604 eV/atom
- Volume: 133 Å³/f.u.

The following is a DFT calculation (GGA-PBEsol) of a relaxed structure of LiTcSb2.

```
4
Lattice="4.611 0.000 0.000 0.000 4.611 0.000 0.000 0.000 3.345" Properties=species:S:1:pos:R:3 pbc="T T T"
Li 0.000 0.000 0.000
Tc 2.305 2.305 0.000
Sb 0.000 2.305 1.673
Sb 2.305 0.000 1.673
```

Summary:
- Energy relative to the elements, uncorrected: 0.0756 eV/atom
- Volume: 71 Å³/f.u.

The following is a DFT calculation (GGA-PBEsol) of a relaxed structure of CrNi2.

```
3
Lattice="2.458 0.000 0.000 -1.229 2.129 0.000 0.000 0.000 6.057" Properties=species:S:1:pos:R:3 pbc="T T T"
Cr 0.000 0.000 0.000
Ni 0.000 1.419 2.008
Ni 1.229 0.710 4.049
```

Summary:
- DFT formation energy: 65 meV/atom
- Volume: 32 Å³/f.u.

The following is a DFT calculation (GGA-PBEsol) of a relaxed structure of OsWN3.

```
5
Lattice="3.876 0.000 0.000 0.000 3.876 0.000 0.000 0.000 3.876" Properties=species:S:1:pos:R:3 pbc="T T T"
Os 0.000 0.000 0.000
W 1.938 1.938 1.938
N 0.000 1.938 1.938
N 1.938 0.000 1.938
N 1.938 1.938 0.000
```

Summary:
- Energy relative to the elements, uncorrected: 1.3278 eV/atom
- Volume: 58 Å³/f.u.

The following is a DFT calculation (GGA-PBEsol) of a relaxed structure of KPNF2.

```
5
Lattice="4.388 0.000 0.000 0.000 4.388 0.000 0.000 0.000 3.320" Properties=species:S:1:pos:R:3 pbc="T T T"
K 0.000 0.000 0.000
P 2.194 2.194 1.660
N 2.194 2.194 0.000
F 0.000 2.194 1.660
F 2.194 0.000 1.660
```

Summary:
- Energy relative to the elements, uncorrected: -1.2717 eV/atom
- Volume: 64 Å³/f.u.

The following is a DFT calculation (GGA-PBEsol) of a relaxed structure of YBr2.

```
6
Lattice="1.907 -8.499 0.000 1.907 8.499 0.000 0.000 0.000 5.633" Properties=species:S:1:pos:R:3 pbc="T T T"
Y 1.907 5.154 4.225
Y 1.907 -5.154 1.408
Br 1.907 5.521 1.408
Br 1.907 1.335 1.408
Br 1.907 -1.335 4.225
Br 1.907 -5.521 4.225
```

Summary:
- Energy relative to the elements, uncorrected: -1.5857 eV/atom
- Volume: 91 Å³/f.u.

The following is a DFT calculation (GGA-PBEsol) of a relaxed structure of MnNb3O6.

```
20
Lattice="-3.254 3.548 5.090 3.254 -3.548 5.090 3.254 3.548 -5.090" Properties=species:S:1:pos:R:3 pbc="T T T"
Mn 1.623 0.000 0.000
Mn 4.884 0.000 0.000
Nb 3.254 1.989 -2.266
Nb 0.000 1.558 2.823
Nb 1.938 3.548 0.000
Nb 1.315 0.000 5.090
Nb 3.254 1.989 2.266
Nb 0.000 1.558 7.356
O 3.254 0.000 1.441
O 0.000 0.000 1.487
O 1.433 2.159 -1.368
O 1.821 -1.389 3.722
O 1.433 2.159 1.368
O 1.821 -1.389 6.457
O 1.433 4.937 -1.368
O 1.821 1.389 3.722
O 1.433 4.937 1.368
O 1.821 1.389 6.457
O 0.000 0.000 8.692
O 0.000 3.548 3.648
```

Summary:
- Energy relative to the elements, uncorrected: -2.1212 eV/atom
- Volume: 117 Å³/f.u.

The following is a DFT calculation (GGA-PBEsol) of a relaxed structure of BaTcP2O.

```
5
Lattice="4.859 0.000 0.000 0.000 4.859 0.000 0.000 0.000 3.877" Properties=species:S:1:pos:R:3 pbc="T T T"
Ba 0.000 0.000 0.000
Tc 2.430 2.430 1.939
P 0.000 2.430 1.939
P 2.430 0.000 1.939
O 2.430 2.430 0.000
```

Summary:
- Energy relative to the elements, uncorrected: -0.6549 eV/atom
- Volume: 92 Å³/f.u.

The following is a DFT calculation (GGA-PBEsol) of a relaxed structure of TiCdGaCu2.

```
5
Lattice="4.616 0.000 0.000 0.000 4.616 0.000 0.000 0.000 4.708" Properties=species:S:1:pos:R:3 pbc="T T T"
Ti 0.000 0.000 0.000
Cd 2.308 2.308 2.354
Ga 2.308 2.308 0.000
Cu 0.000 2.308 2.354
Cu 2.308 0.000 2.354
```

Summary:
- DFT formation energy: 1021 meV/atom
- Volume: 100 Å³/f.u.

The following is a DFT calculation (GGA-PBEsol) of a relaxed structure of TlPd3Pt.

```
5
Lattice="4.838 0.000 0.000 0.000 4.838 0.000 0.000 0.000 4.838" Properties=species:S:1:pos:R:3 pbc="T T T"
Tl 0.000 0.000 0.000
Pd 0.000 2.419 2.419
Pd 2.419 0.000 2.419
Pd 2.419 2.419 0.000
Pt 2.419 2.419 2.419
```

Summary:
- DFT formation energy: 877 meV/atom
- Volume: 113 Å³/f.u.

The following is a DFT calculation (GGA-PBEsol) of a relaxed structure of KFeN.

```
12
Lattice="9.672 0.000 0.000 0.000 3.482 0.000 0.000 0.000 6.537" Properties=species:S:1:pos:R:3 pbc="T T T"
K 1.744 0.870 0.317
K 3.092 2.611 3.585
K 6.580 0.870 2.952
K 7.928 2.611 6.220
Fe 0.224 0.870 3.987
Fe 4.612 2.611 0.718
Fe 5.060 0.870 5.818
Fe 9.448 2.611 2.550
N 0.334 2.611 4.305
N 4.502 0.870 1.036
N 5.170 2.611 5.500
N 9.338 0.870 2.232
```

Summary:
- Energy relative to the elements, uncorrected: -0.1340 eV/atom
- Volume: 55 Å³/f.u.